Entry i
Below is ErTlZnTe3 after structural relaxation, with properties calculated at the PBE level.

The structure in extended XYZ format:
```
24
Lattice="11.5384 0.0000 0.0000 0.0000 4.3288 0.0000 0.0000 0.0000 15.6617" Properties=species:S:1:pos:R:3 pbc="T T T"
Er 0.2149 1.0822 3.8283
Er 5.5543 3.2466 11.6591
Er 5.9841 1.0822 4.0025
Er 11.3235 3.2466 11.8334
Tl 2.5453 3.2466 7.9660
Tl 3.2239 1.0822 0.1352
Tl 8.3145 3.2466 15.5265
Tl 8.9931 1.0822 7.6956
Zn 2.7283 1.0822 11.2250
Zn 3.0409 3.2466 3.3942
Zn 8.4975 1.0822 12.2675
Zn 8.8101 3.2466 4.4367
Te 0.4827 1.0822 9.7679
Te 0.9222 3.2466 1.7854
Te 2.7055 3.2466 12.8972
Te 3.0637 1.0822 5.0664
Te 4.8470 1.0822 9.6162
Te 5.2865 3.2466 1.9371
Te 6.2520 1.0822 13.7246
Te 6.6914 3.2466 6.0455
Te 8.4747 3.2466 10.5953
Te 8.8329 1.0822 2.7645
Te 10.6162 1.0822 13.8763
Te 11.0557 3.2466 5.8938
```

Summary:
The symmetry is No. 62.



Entry ii
Below is ErTlZnTe3 after structural relaxation, with properties calculated at the PBE level.

The structure in extended XYZ format:
```
12
Lattice="9.6455 -2.1994 0.0000 9.6455 2.1994 0.0000 -2.0671 0.0000 9.1493" Properties=species:S:1:pos:R:3 pbc="T T T"
Er 3.1840 0.0000 0.7339
Er 14.0399 0.0000 8.4154
Tl 1.4463 0.0000 5.2096
Tl 15.7776 0.0000 3.9397
Zn 7.4709 0.0000 7.1232
Zn 9.7529 0.0000 2.0261
Te 0.0000 0.0000 0.0000
Te 4.9172 0.0000 6.3729
Te 6.1431 0.0000 1.3103
Te 8.6119 0.0000 4.5747
Te 11.0808 0.0000 7.8390
Te 12.3067 0.0000 2.7764
```

Summary:
The symmetry is No. 12.



Taking the most stable structure as the zero point, the relative energies in kJ/mol of atoms are entry i 0.0; entry ii 13.5.



Entry i
Below is ErTlZnTe3 after structural relaxation, with properties calculated at the PBE level.

The structure in extended XYZ format:
```
12
Lattice="8.8126 0.0000 0.0000 0.0000 4.3458 0.0000 -3.6487 0.0000 10.5330" Properties=species:S:1:pos:R:3 pbc="T T T"
Er 1.1454 1.0864 1.5068
Er 4.0186 3.2593 9.0261
Tl -0.5261 3.2593 7.4535
Tl 5.6901 1.0864 3.0795
Zn 2.2910 3.2593 4.1014
Zn 2.8729 1.0864 6.4316
Te -2.6292 1.0864 9.0142
Te 0.7324 1.0864 4.6648
Te 3.3044 3.2593 1.6503
Te 1.8596 1.0864 8.8827
Te 4.4316 3.2593 5.8682
Te 7.7931 3.2593 1.5188
```

Summary:
The symmetry is No. 11.



Entry ii
Below is ErTlZnTe3 after structural relaxation, with properties calculated at the PBE level.

The structure in extended XYZ format:
```
24
Lattice="12.4793 0.0000 0.0000 0.0000 4.4656 0.0000 0.0000 0.0000 13.4460" Properties=species:S:1:pos:R:3 pbc="T T T"
Er 0.3132 1.1164 2.4667
Er 5.9264 3.3492 9.1897
Er 6.5529 1.1164 4.2563
Er 12.1661 3.3492 10.9793
Tl 2.2704 1.1164 6.6258
Tl 3.9693 3.3492 13.3488
Tl 8.5100 1.1164 0.0972
Tl 10.2090 3.3492 6.8202
Zn 3.0536 3.3492 4.0248
Zn 3.1861 1.1164 10.7478
Zn 9.2933 3.3492 2.6982
Zn 9.4257 1.1164 9.4211
Te 0.4626 3.3492 4.6267
Te 1.1956 1.1164 12.5448
Te 2.8385 3.3492 9.2376
Te 3.4012 1.1164 2.5146
Te 5.0440 3.3492 5.8218
Te 5.7771 1.1164 11.3497
Te 6.7023 3.3492 2.0963
Te 7.4353 1.1164 7.6242
Te 9.0781 3.3492 10.9314
Te 9.6409 1.1164 4.2084
Te 11.2837 3.3492 0.9012
Te 12.0167 1.1164 8.8193
```

Summary:
The symmetry is No. 62.



Taking the most stable structure as the zero point, the relative energies in kJ/mol of atoms are entry i 0.0; entry ii 5.0.



Entry i
Below is ErTm after structural relaxation, with properties calculated at the PBE level.

The structure in extended XYZ format:
```
8
Lattice="5.5241 0.0000 0.0000 0.0000 6.1565 3.5544 0.0000 -6.1565 3.5544" Properties=species:S:1:pos:R:3 pbc="T T T"
Er 1.3810 -5.1325 3.5544
Er 1.3810 -2.0526 1.7811
Er 4.1431 2.0526 1.7811
Er 4.1431 5.1325 3.5544
Tm 1.3810 1.0243 3.5626
Tm 1.3810 -2.0478 5.3360
Tm 4.1431 -1.0243 3.5626
Tm 4.1431 2.0478 5.3360
```

Summary:
The symmetry is No. 40.



Entry ii
Below is ErTm after structural relaxation, with properties calculated at the PBE level.

The structure in extended XYZ format:
```
2
Lattice="0.0000 3.6402 3.6402 3.6402 0.0000 3.6402 3.6402 3.6402 0.0000" Properties=species:S:1:pos:R:3 pbc="T T T"
Er 0.0000 0.0000 0.0000
Tm 5.4604 5.4604 5.4604
```

Summary:
The symmetry is No. 216.



Taking the most stable structure as the zero point, the relative energies in kJ/mol of atoms are entry i 0.0; entry ii 193.1.



Entry i
Below is ErTm after structural relaxation, with properties calculated at the PBE level.

The structure in extended XYZ format:
```
2
Lattice="0.0000 3.2091 3.2091 3.2091 0.0000 3.2091 3.2091 3.2091 0.0000" Properties=species:S:1:pos:R:3 pbc="T T T"
Er 0.0000 0.0000 0.0000
Tm 3.2091 3.2091 3.2091
```

Summary:
The symmetry is No. 225.



Entry ii
Below is ErTm after structural relaxation, with properties calculated at the PBE level.

The structure in extended XYZ format:
```
2
Lattice="3.5526 0.0000 0.0000 -1.7763 3.0767 0.0000 0.0000 0.0000 5.5056" Properties=species:S:1:pos:R:3 pbc="T T T"
Er 0.0000 0.0000 0.0000
Tm 1.7763 1.0256 2.7528
```

Summary:
The symmetry is No. 187.



Taking the most stable structure as the zero point, the relative energies in kJ/mol of atoms are entry i 80.0; entry ii 0.0.



Entry i
Below is Er2Tm after structural relaxation, with properties calculated at the PBE level.

The structure in extended XYZ format:
```
6
Lattice="0.0000 7.0877 7.0877 7.0877 0.0000 7.0877 7.0877 7.0877 0.0000" Properties=species:S:1:pos:R:3 pbc="T T T"
Er 0.0000 0.0000 0.0000
Er 3.5439 3.5439 0.0000
Er 3.5439 0.0000 3.5439
Er 0.0000 3.5439 3.5439
Tm 1.7719 1.7719 1.7719
Tm 12.4035 12.4035 12.4035
```

Summary:
The symmetry is No. 227.



Entry ii
Below is Er2Tm after structural relaxation, with properties calculated at the PBE level.

The structure in extended XYZ format:
```
3
Lattice="0.0000 3.7694 3.7694 3.7694 0.0000 3.7694 3.7694 3.7694 0.0000" Properties=species:S:1:pos:R:3 pbc="T T T"
Er 1.8847 1.8847 1.8847
Er 5.6541 5.6541 5.6541
Tm 0.0000 0.0000 0.0000
```

Summary:
The symmetry is No. 225.



Taking the most stable structure as the zero point, the relative energies in kJ/mol of atoms are entry i 178.0; entry ii 0.0.



Entry i
Below is Er2Tm after structural relaxation, with properties calculated at the PBE level.

The structure in extended XYZ format:
```
6
Lattice="2.4545 -7.4330 0.0000 2.4545 7.4330 0.0000 0.0000 0.0000 4.9045" Properties=species:S:1:pos:R:3 pbc="T T T"
Er 2.4545 6.1986 3.6784
Er 2.4545 3.7209 1.2261
Er 2.4545 -3.7209 3.6784
Er 2.4545 -6.1986 1.2261
Tm 2.4545 1.2384 3.6784
Tm 2.4545 -1.2384 1.2261
```

Summary:
The symmetry is No. 63.



Entry ii
Below is Er2Tm after structural relaxation, with properties calculated at the PBE level.

The structure in extended XYZ format:
```
6
Lattice="0.0000 4.5586 4.5586 4.5586 0.0000 4.5586 4.5586 4.5586 0.0000" Properties=species:S:1:pos:R:3 pbc="T T T"
Er 0.0000 0.0000 0.0000
Er 2.2793 2.2793 0.0000
Er 2.2793 0.0000 2.2793
Er 0.0000 2.2793 2.2793
Tm 3.4190 3.4190 3.4190
Tm 5.6983 5.6983 5.6983
```

Summary:
The symmetry is No. 227.



Taking the most stable structure as the zero point, the relative energies in kJ/mol of atoms are entry i 0.0; entry ii 22.9.